Entry 1:
Below is a relaxed Li3FeNi2O6 crystal, with properties calculated at the GGA+U level.

DOS at the Fermi energy in states/eV/cell: 4.48
DFT total energy in eV/atom: -5.22
SG: No. 12

a b c (Å): 6.590 6.590 5.856
angles (deg): 103.07 103.07 25.43
Atoms (fractional coordinates):
Li1 0.000 0.000 0.000
Li2 0.334 0.334 0.673
Li3 0.666 0.666 0.327
Fe1 0.000 0.000 0.500
Ni1 0.333 0.333 0.162
Ni2 0.667 0.667 0.838
O1 0.153 0.153 0.588
O2 0.168 0.168 0.072
O3 0.499 0.499 0.722
O4 0.501 0.501 0.278
O5 0.832 0.832 0.928
O6 0.847 0.847 0.412

Entry 2:
Below is a relaxed Li2FeNiO4 crystal, with properties calculated at the GGA+U level.

DOS at the Fermi energy in states/eV/cell: 3.18
SG: No. 119
Energy relative to the lowest polymorph listed for this composition in meV per atom: 0

a b c (Å): 5.160 5.160 5.160
angles (deg): 133.25 133.25 68.26
Atoms (fractional coordinates):
Li1 0.000 0.000 0.000
Li2 0.750 0.250 0.500
Fe1 0.250 0.750 0.500
Ni1 0.500 0.500 0.000
O1 0.018 0.518 0.500
O2 0.268 0.268 0.000
O3 0.482 0.982 0.500
O4 0.732 0.732 0.000

Entry 3:
Below is a relaxed LiFeNiO4 crystal, with properties calculated at the GGA+U level.

DOS at the Fermi energy in states/eV/cell: 6.35
SG: No. 74
Energy relative to the lowest polymorph listed for this composition in meV per atom: 7

a b c (Å): 5.926 5.926 5.926
angles (deg): 120.99 120.58 88.64
Atoms (fractional coordinates):
Li1 0.000 0.000 0.000
Li2 0.500 0.000 0.500
Fe1 0.500 0.000 0.000
Fe2 0.500 0.500 0.500
Ni1 0.000 0.500 0.500
Ni2 0.500 0.500 0.000
O1 0.277 0.288 0.510
O2 0.277 0.767 0.990
O3 0.282 0.250 0.032
O4 0.282 0.750 0.532
O5 0.718 0.250 0.468
O6 0.718 0.750 0.968
O7 0.723 0.233 0.010
O8 0.723 0.712 0.490

Entry 4:
Below is a relaxed Li4Fe3Ni3O12 crystal, with properties calculated at the GGA+U level.

DOS at the Fermi energy in states/eV/cell: 4.78
SG: No. 22
Energy relative to the lowest polymorph listed for this composition in meV per atom: 11

a b c (Å): 9.597 8.990 5.246
angles (deg): 80.08 67.33 32.58
Atoms (fractional coordinates):
Li1 0.079 0.079 0.421
Li2 0.171 0.171 0.829
Li3 0.421 0.421 0.079
Li4 0.829 0.829 0.171
Fe1 0.000 0.000 0.000
Fe2 0.336 0.336 0.664
Fe3 0.664 0.664 0.336
Ni1 0.250 0.250 0.250
Ni2 0.585 0.585 0.915
Ni3 0.915 0.915 0.585
O1 0.033 0.467 0.033
O2 0.124 0.703 0.818
O3 0.131 0.543 0.433
O4 0.216 0.784 0.216
O5 0.355 0.818 0.703
O6 0.433 0.893 0.131
O7 0.467 0.033 0.467
O8 0.543 0.131 0.893
O9 0.703 0.124 0.355
O10 0.784 0.216 0.784
O11 0.818 0.355 0.124
O12 0.893 0.433 0.543

Entry 5:
Below is a relaxed Li2Fe3NiO6 crystal, with properties calculated at the GGA+U level.

DOS at the Fermi energy in states/eV/cell: 0.00
DFT total energy in eV/atom: -5.65
SG: No. 12

a b c (Å): 7.093 7.093 5.780
angles (deg): 103.15 103.15 23.35
Atoms (fractional coordinates):
Li1 0.181 0.181 0.345
Li2 0.819 0.819 0.655
Fe1 0.170 0.170 0.841
Fe2 0.500 0.500 0.500
Fe3 0.830 0.830 0.159
Ni1 0.500 0.500 0.000
O1 0.022 0.022 0.790
O2 0.314 0.314 0.917
O3 0.342 0.342 0.402
O4 0.658 0.658 0.598
O5 0.686 0.686 0.083
O6 0.978 0.978 0.210

Entry 6:
Below is a relaxed Li5Fe5Ni2O12 crystal, with properties calculated at the GGA+U level.

DOS at the Fermi energy in states/eV/cell: 0.00
DFT total energy in eV/atom: -5.85
SG: No. 5

a b c (Å): 5.150 5.150 9.837
angles (deg): 94.95 94.95 119.64
Atoms (fractional coordinates):
Li1 0.000 0.000 0.000
Li2 0.246 0.258 0.760
Li3 0.402 0.074 0.239
Li4 0.742 0.754 0.240
Li5 0.926 0.598 0.761
Fe1 0.076 0.405 0.237
Fe2 0.164 0.836 0.500
Fe3 0.502 0.498 0.500
Fe4 0.595 0.924 0.763
Fe5 0.657 0.343 0.000
Ni1 0.329 0.671 0.000
Ni2 0.832 0.168 0.500
O1 0.030 0.686 0.124
O2 0.134 0.138 0.380
O3 0.227 0.561 0.621
O4 0.314 0.970 0.876
O5 0.369 0.381 0.123
O6 0.439 0.773 0.379
O7 0.528 0.195 0.617
O8 0.619 0.631 0.877
O9 0.710 0.065 0.127
O10 0.805 0.472 0.383
O11 0.862 0.866 0.620
O12 0.935 0.290 0.873

Entry 7:
Below is a relaxed Li5Fe2Ni3O10 crystal, with properties calculated at the GGA+U level.

DOS at the Fermi energy in states/eV/cell: 4.46
DFT total energy in eV/atom: -5.26
SG: No. 2

a b c (Å): 5.066 5.127 7.613
angles (deg): 109.49 102.80 98.40
Atoms (fractional coordinates):
Li1 0.000 0.000 0.000
Li2 0.494 0.393 0.292
Li3 0.498 0.808 0.091
Li4 0.502 0.192 0.909
Li5 0.506 0.607 0.708
Fe1 0.006 0.406 0.803
Fe2 0.994 0.594 0.197
Ni1 0.001 0.800 0.601
Ni2 0.500 0.000 0.500
Ni3 0.999 0.200 0.399
O1 0.226 0.998 0.259
O2 0.227 0.615 0.447
O3 0.228 0.786 0.832
O4 0.229 0.205 0.638
O5 0.232 0.425 0.047
O6 0.768 0.575 0.953
O7 0.771 0.795 0.362
O8 0.772 0.214 0.168
O9 0.773 0.385 0.553
O10 0.774 0.002 0.741

Entry 8:
Below is a relaxed Li2FeNiO4 crystal, with properties calculated at the GGA+U level.

DOS at the Fermi energy in states/eV/cell: 0.38
SG: No. 10
Energy relative to the lowest polymorph listed for this composition in meV per atom: 68

a b c (Å): 5.067 2.922 5.069
angles (deg): 90.00 109.19 90.00
Atoms (fractional coordinates):
Li1 0.000 0.000 0.000
Li2 0.500 0.500 0.000
Fe1 0.000 0.500 0.500
Ni1 0.500 0.000 0.500
O1 0.224 0.000 0.726
O2 0.234 0.500 0.275
O3 0.766 0.500 0.725
O4 0.776 0.000 0.274

Entry 9:
Below is a relaxed Li3FeNi4O8 crystal, with properties calculated at the GGA+U level.

DOS at the Fermi energy in states/eV/cell: 5.80
DFT total energy in eV/atom: -5.16
SG: No. 12

a b c (Å): 5.891 5.891 5.880
angles (deg): 119.64 119.64 59.60
Atoms (fractional coordinates):
Li1 0.000 0.000 0.000
Li2 0.000 0.500 0.000
Li3 0.500 0.000 0.000
Fe1 0.500 0.500 0.500
Ni1 0.000 0.000 0.500
Ni2 0.000 0.500 0.500
Ni3 0.500 0.000 0.500
Ni4 0.500 0.500 0.000
O1 0.250 0.250 0.734
O2 0.256 0.744 0.256
O3 0.256 0.744 0.744
O4 0.258 0.258 0.278
O5 0.742 0.742 0.722
O6 0.744 0.256 0.256
O7 0.744 0.256 0.744
O8 0.750 0.750 0.266

Entry 10:
Below is a relaxed Li5Fe2Ni5O12 crystal, with properties calculated at the GGA+U level.

DOS at the Fermi energy in states/eV/cell: 5.18
DFT total energy in eV/atom: -5.24
SG: No. 5

a b c (Å): 5.098 5.098 9.755
angles (deg): 95.21 95.21 120.88
Atoms (fractional coordinates):
Li1 0.000 0.000 0.000
Li2 0.252 0.246 0.754
Li3 0.419 0.087 0.246
Li4 0.754 0.748 0.246
Li5 0.913 0.581 0.754
Fe1 0.338 0.662 0.000
Fe2 0.838 0.162 0.500
Ni1 0.082 0.405 0.247
Ni2 0.170 0.830 0.500
Ni3 0.506 0.494 0.500
Ni4 0.595 0.918 0.753
Ni5 0.666 0.334 0.000
O1 0.028 0.673 0.118
O2 0.111 0.126 0.381
O3 0.205 0.530 0.619
O4 0.327 0.972 0.882
O5 0.382 0.385 0.121
O6 0.470 0.795 0.381
O7 0.564 0.196 0.616
O8 0.615 0.618 0.879
O9 0.694 0.047 0.118
O10 0.804 0.436 0.384
O11 0.874 0.889 0.619
O12 0.953 0.306 0.882

Entry 11:
Below is a relaxed Li4Fe3NiO8 crystal, with properties calculated at the GGA+U level.

DOS at the Fermi energy in states/eV/cell: 6.16
SG: No. 166
Energy relative to the lowest polymorph listed for this composition in meV per atom: 0

a b c (Å): 5.969 5.969 5.969
angles (deg): 59.46 59.46 59.46
Atoms (fractional coordinates):
Li1 0.000 0.000 0.000
Li2 0.000 0.500 0.500
Li3 0.500 0.000 0.500
Li4 0.500 0.500 0.000
Fe1 0.000 0.000 0.500
Fe2 0.000 0.500 0.000
Fe3 0.500 0.000 0.000
Ni1 0.500 0.500 0.500
O1 0.238 0.745 0.745
O2 0.244 0.244 0.244
O3 0.255 0.255 0.762
O4 0.255 0.762 0.255
O5 0.745 0.238 0.745
O6 0.745 0.745 0.238
O7 0.756 0.756 0.756
O8 0.762 0.255 0.255

Entry 12:
Below is a relaxed Li3Fe2Ni2O8 crystal, with properties calculated at the GGA+U level.

DOS at the Fermi energy in states/eV/cell: 2.07
DFT total energy in eV/atom: -5.46
SG: No. 2

a b c (Å): 5.852 5.861 5.896
angles (deg): 119.28 119.57 90.17
Atoms (fractional coordinates):
Li1 0.000 0.000 0.000
Li2 0.000 0.500 0.000
Li3 0.500 0.000 0.500
Fe1 0.000 0.500 0.500
Fe2 0.500 0.500 0.500
Ni1 0.500 0.000 0.000
Ni2 0.500 0.500 0.000
O1 0.260 0.268 0.486
O2 0.261 0.723 0.978
O3 0.270 0.728 0.505
O4 0.289 0.288 0.048
O5 0.711 0.712 0.952
O6 0.730 0.272 0.495
O7 0.739 0.277 0.022
O8 0.740 0.732 0.514